Entry 1:
Compound: Li3ZnAg2
Source: Alexandria via LeMat-Bulk
Functional: PBE
Structure: relaxed Values from VASP.

Values from the calculation:
E, eV per atom: -2.306
Polymorph energy (0 for the lowest one), meV/atom: 0
DOS at the Fermi energy, states/eV/cell: 2.40
Theoretical density, Mg/m³: 5.359
Magnetization, μB/atom: 0.0000
DFT formation energy, eV/atom: -0.19

Cell and atoms, written as Quantum ESPRESSO input:
```
&SYSTEM
  ibrav = 0, nat = 6, ntyp = 3
/
ATOMIC_SPECIES
Ag 107.87 Ag.upf
Li 6.94 Li.upf
Zn 65.41 Zn.upf
CELL_PARAMETERS angstrom
3.130 0.000 0.000
0.000 3.130 0.000
0.000 0.000 9.552
ATOMIC_POSITIONS angstrom
Ag 1.565 1.565 7.919
Li 0.000 0.000 6.324
Li 0.000 0.000 0.000
Ag 1.565 1.565 1.633
Zn 1.565 1.565 4.776
Li 0.000 0.000 3.228
```

***

Entry 2:
Compound: Lu3Be
Source: Alexandria via LeMat-Bulk
Functional: PBE
Structure: relaxed Values from VASP.

Values from the calculation:
E, eV per atom: -4.242
Polymorph energy (0 for the lowest one), meV/atom: 0
DOS at the Fermi energy, states/eV/cell: 3.77
Theoretical density, Mg/m³: 9.253
Magnetization, μB/atom: 0.0000
DFT formation energy, eV/atom: 0.08

Cell and atoms, written as Quantum ESPRESSO input:
```
&SYSTEM
  ibrav = 0, nat = 4, ntyp = 2
/
ATOMIC_SPECIES
Be 9.01 Be.upf
Lu 174.97 Lu.upf
CELL_PARAMETERS angstrom
-2.781 2.120 -0.058
-2.278 -2.894 3.460
4.728 3.379 2.250
ATOMIC_POSITIONS angstrom
Be -2.092 -2.657 3.177
Lu 0.344 0.554 3.761
Lu -2.339 -0.145 1.411
Lu -0.292 2.537 1.310
```

***

Entry 3:
Compound: FeCo2Ir9
Source: Alexandria via LeMat-Bulk
Functional: PBE
Structure: relaxed Values from VASP.

Values from the calculation:
E, eV per atom: -8.524
DOS at the Fermi energy, states/eV/cell: 16.36
Theoretical density, Mg/m³: 19.081
Magnetization, μB/atom: 0.1220
DFT formation energy, eV/atom: 0.01

Cell and atoms, written as Quantum ESPRESSO input:
```
&SYSTEM
  ibrav = 0, nat = 12, ntyp = 3
/
ATOMIC_SPECIES
Ir 192.22 Ir.upf
Co 58.93 Co.upf
Fe 55.84 Fe.upf
CELL_PARAMETERS angstrom
3.805 0.000 0.000
0.000 3.805 0.000
0.000 0.000 11.445
ATOMIC_POSITIONS angstrom
Ir 1.902 0.000 5.722
Co 0.000 0.000 7.654
Ir 1.902 1.902 3.821
Ir 1.902 0.000 1.914
Ir 0.000 1.902 1.914
Ir 1.902 0.000 9.530
Ir 0.000 1.902 9.530
Ir 1.902 1.902 0.000
Ir 0.000 1.902 5.722
Co 0.000 0.000 3.791
Fe 0.000 0.000 0.000
Ir 1.902 1.902 7.624
```

***

Entry 4:
Compound: Mg14ScIn
Source: Alexandria via LeMat-Bulk
Functional: PBE
Structure: relaxed Values from VASP.

Values from the calculation:
E, eV per atom: -1.968
DOS at the Fermi energy, states/eV/cell: 11.57
Theoretical density, Mg/m³: 2.240
Magnetization, μB/atom: 0.0000
DFT formation energy, eV/atom: -0.01

Cell and atoms, written as Quantum ESPRESSO input:
```
&SYSTEM
  ibrav = 0, nat = 16, ntyp = 3
/
ATOMIC_SPECIES
Mg 24.30 Mg.upf
In 114.82 In.upf
Sc 44.96 Sc.upf
CELL_PARAMETERS angstrom
-4.367 1.887 4.517
-2.371 -6.112 0.259
5.623 -1.917 6.237
ATOMIC_POSITIONS angstrom
Mg -2.823 -3.125 4.547
Mg 3.392 -1.960 5.272
Mg -0.901 -5.598 5.039
Mg -4.710 -0.641 4.050
Mg -1.899 -1.599 7.168
Mg 0.570 -0.998 2.142
In 0.285 -2.543 4.910
Mg 2.199 -5.038 5.403
Mg -0.624 -4.076 2.272
Mg 0.000 -4.087 7.678
Mg 1.193 -1.009 7.547
Sc -3.084 -4.655 7.298
Mg -3.712 -4.640 1.921
Mg -5.896 -3.696 4.180
Mg -2.527 -1.584 1.791
Mg -1.629 -0.047 4.417
```